This record from the Alexandria database describes Co4Pt2Rh after structural relaxation. The functional is PBE.

Unit cell a=4.709 b=4.709 c=9.154 alpha=90.00 beta=90.00 gamma=90.00
Space group I4/mmm (No. 139)
Inequivalent atoms, fractional coordinates:
Co  0.000  0.500  0.000
Co  0.000  0.500  0.250
Pt  0.000  0.000  0.150
Rh  0.000  0.000  0.500

Computed properties:
The calculation puts the total energy at -6.338 eV per atom. The formation energy is 0.499 eV per atom. The value obtained for the volume is 14.5 Å³/atom.

---

This record from the Alexandria database describes Ca3ZnRh2 after structural relaxation. The functional is PBE.

Unit cell a=8.2259 b=8.2259 c=15.1314 alpha=90.00 beta=90.00 gamma=120.00
Space group R-3c (No. 167, hexagonal axes)
Inequivalent atoms, fractional coordinates:
Ca  0.0000  0.3183  0.2500
Zn  0.0000  0.0000  0.0000
Rh  0.0000  0.0000  0.1621

Computed properties:
The calculation puts the total energy at -4.014 eV per atom. The formation energy is -0.350 eV per atom. The value obtained for the volume is 24.6 Å³/atom.

---

This record from the Alexandria database describes Co5AgSe8 after structural relaxation. The functional is PBE.

Unit cell a=18.557 b=3.544 c=8.022 alpha=90.00 beta=105.99 gamma=90.00
Space group Cm (No. 8)
Inequivalent atoms, fractional coordinates:
Co  0.000  0.000  0.000
Co  0.041  0.000  0.340
Co  0.201  0.500  0.321
Co  0.355  0.000  0.287
Co  0.404  0.000  0.624
Ag  0.243  0.000  0.826
Se  0.024  0.500  0.826
Se  0.115  0.500  0.500
Se  0.127  0.000  0.174
Se  0.268  0.000  0.496
Se  0.279  0.500  0.129
Se  0.380  0.500  0.801
Se  0.436  0.500  0.461
Se  0.462  0.000  0.164

Computed properties:
The calculation puts the total energy at -4.947 eV per atom. The value obtained for the volume is 18.1 Å³/atom.

---

This record from the Alexandria database describes AlNiIN2 after structural relaxation. The functional is PBE.

Unit cell a=3.657 b=3.657 c=7.018 alpha=90.00 beta=90.00 gamma=90.00
Space group P4/mmm (No. 123)
Inequivalent atoms, fractional coordinates:
Al  0.000  0.000  0.000
Ni  0.500  0.500  0.500
I  0.000  0.000  0.500
N  0.000  0.500  0.000

Computed properties:
The calculation puts the total energy at -4.661 eV per atom. The value obtained for the volume is 18.8 Å³/atom.

---

This record from the Alexandria database describes LiMg2Sn2 after structural relaxation. The functional is PBE.

Unit cell a=4.6659 b=4.6659 c=12.2540 alpha=90.00 beta=90.00 gamma=120.00
Space group P6_3/mmc (No. 194)
Inequivalent atoms, fractional coordinates:
Li  0.0000  0.0000  0.2500
Mg  0.0000  0.0000  0.0000
Mg  0.3333  0.6667  0.2500
Sn  0.3333  0.6667  0.6236

Computed properties:
The calculation puts the total energy at -2.763 eV per atom. The formation energy is -0.141 eV per atom. The value obtained for the volume is 23.1 Å³/atom.

---

This record from the Alexandria database describes Pm2Dy6HoSc3 after structural relaxation. The functional is PBE.

Unit cell a=6.066 b=10.503 c=11.503 alpha=90.00 beta=100.11 gamma=90.00
Space group C2/m (No. 12)
Inequivalent atoms, fractional coordinates:
Pm  0.000  0.167  0.000
Dy  0.246  0.166  0.739
Dy  0.246  0.500  0.739
Ho  0.000  0.500  0.000
Sc  0.000  0.000  0.500
Sc  0.000  0.334  0.500

Computed properties:
The calculation puts the total energy at -5.012 eV per atom. The formation energy is 0.045 eV per atom. The value obtained for the volume is 30.1 Å³/atom.

---

Copy entry 4 word for word.
This record from the Alexandria database describes AlNiIN2 after structural relaxation. The functional is PBE.

Unit cell a=3.657 b=3.657 c=7.018 alpha=90.00 beta=90.00 gamma=90.00
Space group P4/mmm (No. 123)
Inequivalent atoms, fractional coordinates:
Al  0.000  0.000  0.000
Ni  0.500  0.500  0.500
I  0.000  0.000  0.500
N  0.000  0.500  0.000

Computed properties:
The calculation puts the total energy at -4.661 eV per atom. The value obtained for the volume is 18.8 Å³/atom.